Below is a relaxed KInNO2 crystal, with properties calculated at the PBE level.

a = 4.3141 Å, b = 4.3141 Å, c = 4.4628 Å
α = 90.00°, β = 90.00°, γ = 90.00°
Positions (direct):
1 K 0.0000 0.0000 0.0000
2 In 0.5000 0.5000 0.5000
3 N 0.5000 0.5000 0.0000
4 O 0.0000 0.5000 0.5000
5 O 0.5000 0.0000 0.5000

Properties
- N(E_F) (states/eV/atom) = 0.64
- formation energy from raw total energies (eV/f.u.) = -0.6